Record 1
{
  "formula": "YHf3Sc",
  "functional": "PBE-GGA",
  "state": "relaxed",
  "lattice_angstrom": [[5.161, 0.000, 0.000], [0.000, 5.161, 0.000], [0.000, 0.000, 5.161]],
  "species": ["Y", "Hf", "Hf", "Hf", "Sc"],
  "fractional_positions": [[0.000, 0.000, 0.000], [0.000, 0.000, 0.500], [0.000, 0.500, 0.000], [0.500, 0.000, 0.000], [0.500, 0.500, 0.500]],
  "magmom_total_mub_per_fu": 0.00,
  "formation_energy_ev_per_atom": 1.40
}

***

Record 2
{
  "formula": "Tb5Ce2Ga4",
  "functional": "PBE-GGA",
  "state": "relaxed",
  "lattice_angstrom": [[-1.817, 4.190, 9.961], [1.817, -4.190, 9.961], [1.817, 4.190, -9.961]],
  "species": ["Tb", "Tb", "Tb", "Tb", "Tb", "Ce", "Ce", "Ga", "Ga", "Ga", "Ga"],
  "fractional_positions": [[0.000, 0.000, 0.000], [0.058, 0.338, 0.720], [0.381, 0.662, 0.720], [0.619, 0.338, 0.280], [0.942, 0.662, 0.280], [0.430, 0.930, 0.500], [0.570, 0.070, 0.500], [0.269, 0.500, 0.769], [0.281, 0.781, 0.500], [0.719, 0.219, 0.500], [0.731, 0.500, 0.231]],
  "magmom_total_mub_per_fu": 0.00,
  "formation_energy_ev_per_atom": -0.25
}

***

Record 3
{
  "formula": "MnCu2Ir",
  "functional": "PBE-GGA",
  "state": "relaxed",
  "lattice_angstrom": [[4.333, -1.387, 0.000], [4.333, 1.387, 0.000], [-0.993, 0.000, 4.374]],
  "species": ["Mn", "Cu", "Cu", "Ir"],
  "fractional_positions": [[0.000, 0.000, 0.000], [0.249, 0.249, 0.724], [0.501, 0.501, 0.505], [0.748, 0.748, 0.226]],
  "magmom_total_mub_per_fu": 3.61,
  "formation_energy_ev_per_atom": 0.06
}

***

Record 4
{
  "formula": "Ac2ThSi3Pd12",
  "functional": "PBE-GGA",
  "state": "relaxed",
  "lattice_angstrom": [[4.171, 2.408, 6.379], [-4.171, 2.408, 6.379], [0.000, -4.816, 6.379]],
  "species": ["Ac", "Ac", "Th", "Si", "Si", "Si", "Pd", "Pd", "Pd", "Pd", "Pd", "Pd", "Pd", "Pd", "Pd", "Pd", "Pd", "Pd"],
  "fractional_positions": [[0.100, 0.100, 0.100], [0.900, 0.900, 0.900], [0.500, 0.500, 0.500], [0.000, 0.500, 0.500], [0.500, 0.000, 0.500], [0.500, 0.500, 0.000], [0.095, 0.640, 0.640], [0.160, 0.160, 0.599], [0.160, 0.599, 0.160], [0.360, 0.360, 0.905], [0.360, 0.905, 0.360], [0.401, 0.840, 0.840], [0.599, 0.160, 0.160], [0.640, 0.095, 0.640], [0.640, 0.640, 0.095], [0.840, 0.401, 0.840], [0.840, 0.840, 0.401], [0.905, 0.360, 0.360]],
  "raw_formation_energy_ev_per_atom": -0.462,
  "magmom_total_mub_per_fu": 0.00
}

***

Record 5
{
  "formula": "Ho2AgHg6",
  "functional": "PBE-GGA",
  "state": "relaxed",
  "lattice_angstrom": [[9.359, 0.000, 0.000], [0.000, 9.359, 0.000], [0.000, 0.000, 4.778]],
  "species": ["Ho", "Ho", "Ho", "Ho", "Ag", "Ag", "Hg", "Hg", "Hg", "Hg", "Hg", "Hg", "Hg", "Hg", "Hg", "Hg", "Hg", "Hg"],
  "fractional_positions": [[0.189, 0.189, 0.000], [0.311, 0.689, 0.500], [0.689, 0.311, 0.500], [0.811, 0.811, 0.000], [0.000, 0.000, 0.500], [0.500, 0.500, 0.000], [0.025, 0.333, 0.500], [0.143, 0.857, 0.000], [0.167, 0.525, 0.000], [0.333, 0.025, 0.500], [0.357, 0.357, 0.500], [0.475, 0.833, 0.000], [0.525, 0.167, 0.000], [0.643, 0.643, 0.500], [0.667, 0.975, 0.500], [0.833, 0.475, 0.000], [0.857, 0.143, 0.000], [0.975, 0.667, 0.500]],
  "magmom_total_mub_per_fu": 0.00,
  "formation_energy_ev_per_atom": -0.26
}

***

Record 6
{
  "formula": "Rb3PbI6",
  "functional": "PBE-GGA",
  "state": "relaxed",
  "lattice_angstrom": [[7.997, -10.486, 0.000], [7.997, 10.486, 0.000], [0.000, 0.000, 6.714]],
  "species": ["Rb", "Rb", "Rb", "Rb", "Rb", "Rb", "Pb", "Pb", "I", "I", "I", "I", "I", "I", "I", "I", "I", "I", "I", "I"],
  "fractional_positions": [[0.114, 0.886, 0.500], [0.203, 0.431, 0.506], [0.431, 0.203, 0.006], [0.569, 0.797, 0.506], [0.797, 0.569, 0.006], [0.886, 0.114, 0.000], [0.288, 0.712, 0.135], [0.712, 0.288, 0.635], [0.051, 0.620, 0.244], [0.159, 0.162, 0.252], [0.162, 0.159, 0.752], [0.288, 0.712, 0.674], [0.380, 0.949, 0.244], [0.436, 0.564, 0.190], [0.564, 0.436, 0.690], [0.620, 0.051, 0.744], [0.712, 0.288, 0.174], [0.838, 0.841, 0.252], [0.841, 0.838, 0.752], [0.949, 0.380, 0.744]],
  "raw_formation_energy_ev_per_atom": -1.028,
  "magmom_total_mub_per_fu": 0.00
}